Entry from the Alexandria database: HoThIrOs after structural relaxation (PBE).

The density of states at the Fermi level is 0.585 states/eV per atom. For the energy of formation, the calculation gives -0.49 eV/atom.

It has space group F-43m (No. 216), with a = 6.992 Å, b = 6.992 Å, c = 6.992 Å, α = 90.00°, β = 90.00° and γ = 90.00°. Symmetry generates all atoms from Ho at (0.000, 0.000, 0.000), Th at (0.000, 0.000, 0.500), Ir at (0.250, 0.250, 0.750) and Os at (0.250, 0.250, 0.250).



Entry from the Alexandria database: YHoPtRh after structural relaxation (PBE).

The density of states at the Fermi level is 0.512 states/eV per atom. The value obtained for the distance to the lowest polymorph of the same formula is 0 meV/atom. For the energy of formation, the calculation gives -1.06 eV/atom.

It has space group Amm2 (No. 38), with a = 4.335 Å, b = 3.782 Å, c = 10.595 Å, α = 90.00°, β = 90.00° and γ = 90.00°. Symmetry generates all atoms from Y at (0.000, 0.000, 0.000), Ho at (0.500, 0.000, 0.282), Pt at (0.500, 0.000, 0.558) and Rh at (0.000, 0.000, 0.732).



Entry from the Alexandria database: KMg2Cl after structural relaxation (PBE).

The density of states at the Fermi level is 0.211 states/eV per atom. The value obtained for the uncorrected formation energy is -351 meV/atom. The value obtained for the distance to the lowest polymorph of the same formula is 271 meV/atom.

It has space group Cmmm (No. 65), with a = 3.723 Å, b = 6.223 Å, c = 10.196 Å, α = 90.00°, β = 90.00° and γ = 90.00°. Symmetry generates all atoms from K at (0.000, 0.000, 0.000), Mg at (0.000, 0.500, 0.299) and Cl at (0.000, 0.000, 0.500).



Entry from the Alexandria database: Co2OsI after structural relaxation (PBE).

The density of states at the Fermi level is 2.227 states/eV per atom. The value obtained for the uncorrected formation energy is 1218 meV/atom. The value obtained for the distance to the lowest polymorph of the same formula is 174 meV/atom.

It has space group Fm-3m (No. 225), with a = 6.171 Å, b = 6.171 Å, c = 6.171 Å, α = 90.00°, β = 90.00° and γ = 90.00°. Symmetry generates all atoms from Co at (0.250, 0.250, 0.250), Os at (0.000, 0.000, 0.000) and I at (0.000, 0.000, 0.500).



no.,calculated total energy (eV per atom)
1,-8.509
2,-7.165
3,-1.884
4,-5.530